Entry 1:
Below is a relaxed structure of TmZnIrRh, with properties calculated at the GGA-PBE level.

The value obtained for the energy relative to the elements is -0.64 eV per atom. As for the calculated volume: 16.38 Å³ per atom. Its space group is Pmmm, No. 47. The value obtained for the density is 13.42 g/cm³. The total magnetic moment comes out at 0.000 Bohr magnetons per cell.

Cell lengths 3.638, 4.201, 4.286 Å; angles 90.00, 90.00, 90.00 degrees
Fractional coordinates of all 4 atoms:
Tm: 0.000 0.000 0.000
Zn: 0.000 0.500 0.500
Ir: 0.500 0.000 0.500
Rh: 0.500 0.500 0.000



Entry 2:
Below is a relaxed structure of AgSeBr2N, with properties calculated at the GGA-PBE level.

As for the calculated volume: 20.22 Å³ per atom. Its space group is P4/mmm, No. 123. The value obtained for the density is 5.92 g/cm³. The total magnetic moment comes out at 0.000 Bohr magnetons per cell. The uncorrected formation energy comes out at 93 kJ/mol of atoms.

Cell lengths 4.749, 4.749, 4.482 Å; angles 90.00, 90.00, 90.00 degrees
Fractional coordinates of all 5 atoms:
Ag: 0.000 0.000 0.000
Se: 0.500 0.500 0.000
Br: 0.000 0.500 0.500
Br: 0.500 0.000 0.500
N: 0.500 0.500 0.500



Entry 3:
Below is a relaxed structure of KRb2TlPd, with properties calculated at the GGA-PBE level.

The value obtained for the energy relative to the elements is -0.01 eV per atom. As for the calculated volume: 47.64 Å³ per atom. Its space group is P4/mmm, No. 123. The value obtained for the density is 3.63 g/cm³. The total magnetic moment comes out at 0.000 Bohr magnetons per cell.

Cell lengths 6.606, 6.606, 5.457 Å; angles 90.00, 90.00, 90.00 degrees
Fractional coordinates of all 5 atoms:
K: 0.000 0.000 0.000
Rb: 0.000 0.500 0.500
Rb: 0.500 0.000 0.500
Tl: 0.500 0.500 0.000
Pd: 0.500 0.500 0.500



Entry 4:
Below is a relaxed structure of WSe2BrN, with properties calculated at the GGA-PBE level.

As for the calculated volume: 25.53 Å³ per atom. Its space group is P4/mmm, No. 123. The value obtained for the density is 5.67 g/cm³. The total magnetic moment comes out at 3.333 Bohr magnetons per cell. The uncorrected formation energy comes out at 110 kJ/mol of atoms.

Cell lengths 4.888, 4.888, 5.344 Å; angles 90.00, 90.00, 90.00 degrees
Fractional coordinates of all 5 atoms:
W: 0.000 0.000 0.000
Se: 0.000 0.500 0.000
Se: 0.500 0.000 0.000
Br: 0.000 0.000 0.500
N: 0.500 0.500 0.500



Entry 5:
Below is a relaxed structure of HgSO3, with properties calculated at the GGA-PBE level.

As for the calculated volume: 16.18 Å³ per atom. Its space group is P2_1/m, No. 11. The value obtained for the density is 5.76 g/cm³. The total magnetic moment comes out at 0.000 Bohr magnetons per cell. The uncorrected formation energy comes out at -78 kJ/mol of atoms.

Cell lengths 4.796, 5.889, 5.891 Å; angles 90.00, 103.54, 90.00 degrees
Fractional coordinates of all 10 atoms:
Hg: 0.106 0.250 0.317
Hg: 0.894 0.750 0.683
S: 0.333 0.250 0.844
S: 0.667 0.750 0.156
O: 0.053 0.250 0.939
O: 0.293 0.047 0.671
O: 0.293 0.453 0.671
O: 0.707 0.547 0.329
O: 0.707 0.953 0.329
O: 0.947 0.750 0.061



Entry 6:
Below is a relaxed structure of La4NiBr5, with properties calculated at the GGA-PBE level.

As for the calculated volume: 33.99 Å³ per atom. Its space group is C2/m, No. 12. The value obtained for the density is 4.95 g/cm³. The total magnetic moment comes out at 0.000 Bohr magnetons per cell. The uncorrected formation energy comes out at -139 kJ/mol of atoms.

Cell lengths 9.860, 9.860, 8.872 Å; angles 104.27, 104.27, 24.03 degrees
Fractional coordinates of all 10 atoms:
La: 0.001 0.001 0.284
La: 0.345 0.345 0.406
La: 0.655 0.655 0.594
La: 0.999 0.999 0.716
Ni: 0.500 0.500 0.500
Br: 0.165 0.165 0.854
Br: 0.172 0.172 0.339
Br: 0.500 0.500 0.000
Br: 0.828 0.828 0.661
Br: 0.835 0.835 0.146



Entry 7:
Below is a relaxed structure of Sm4SnSe2, with properties calculated at the GGA-PBE level.

As for the calculated volume: 28.94 Å³ per atom. Its space group is Cmcm, No. 63. The value obtained for the density is 7.20 g/cm³. The total magnetic moment comes out at 0.003 Bohr magnetons per cell. The uncorrected formation energy comes out at -123 kJ/mol of atoms.

Cell lengths 7.081, 7.081, 14.024 Å; angles 90.00, 90.00, 144.81 degrees
Fractional coordinates of all 14 atoms:
Sm: 0.000 0.000 0.000
Sm: 0.000 0.000 0.500
Sm: 0.271 0.729 0.622
Sm: 0.271 0.729 0.878
Sm: 0.441 0.559 0.250
Sm: 0.559 0.441 0.750
Sm: 0.729 0.271 0.122
Sm: 0.729 0.271 0.378
Sn: 0.108 0.892 0.250
Sn: 0.892 0.108 0.750
Se: 0.364 0.636 0.060
Se: 0.364 0.636 0.440
Se: 0.636 0.364 0.560
Se: 0.636 0.364 0.940



Entry 8:
Below is a relaxed structure of Y2IrPb, with properties calculated at the GGA-PBE level.

The value obtained for the energy relative to the elements is -0.56 eV per atom. As for the calculated volume: 25.58 Å³ per atom. Its space group is Amm2, No. 38. The value obtained for the density is 9.37 g/cm³. The total magnetic moment comes out at 0.000 Bohr magnetons per cell.

Cell lengths 3.998, 4.373, 11.702 Å; angles 90.00, 90.00, 90.00 degrees
Fractional coordinates of all 8 atoms:
Y: 0.000 0.000 0.000
Y: 0.000 0.500 0.500
Y: 0.500 0.000 0.296
Y: 0.500 0.500 0.796
Ir: 0.000 0.000 0.762
Ir: 0.000 0.500 0.262
Pb: 0.500 0.000 0.588
Pb: 0.500 0.500 0.088